Record 1
The following is a GGA-PBE calculation of an optimized crystal structure of In4OsPt, from Alexandria.

Lattice parameters (Å, degrees): 5.594 5.594 5.594 60.00 60.00 60.00
Atoms (fractional coordinates):
1 In 0.875 0.375 0.375
2 In 0.375 0.375 0.875
3 In 0.375 0.875 0.375
4 In 0.375 0.375 0.375
5 Os 0.750 0.750 0.750
6 Pt 0.000 0.000 0.000

Properties
- Density: 11330 kg/m3
- ΔH_f (0 K): 0.9484 eV/atom
- Crystal system: cubic
- N(E_F): 4.079 states/eV/cell
- Space group: F-43m

=====

Record 2
The following is a GGA-PBE calculation of an optimized crystal structure of Ca2Mg6GaNi, from Alexandria.

Lattice parameters (Å, degrees): 7.715 6.715 9.647 90.00 90.00 90.00
Atoms (fractional coordinates):
1 Ca 0.500 0.740 0.269
2 Ca 0.000 0.260 0.769
3 Ca 0.500 0.740 0.731
4 Ca 0.000 0.260 0.231
5 Mg 0.500 0.227 0.256
6 Mg 0.500 0.227 0.744
7 Mg 0.000 0.773 0.244
8 Mg 0.000 0.773 0.756
9 Mg 0.198 0.952 0.500
10 Mg 0.802 0.952 0.500
11 Mg 0.300 0.399 0.500
12 Mg 0.700 0.399 0.500
13 Mg 0.800 0.601 0.000
14 Mg 0.200 0.601 0.000
15 Mg 0.302 0.048 0.000
16 Mg 0.698 0.048 0.000
17 Ga 0.000 0.594 0.500
18 Ga 0.500 0.406 0.000
19 Ni 0.500 0.087 0.500
20 Ni 0.000 0.913 0.000

Properties
- Density: 2355 kg/m3
- ΔH_f (0 K): -0.0786 eV/atom
- Crystal system: orthorhombic
- N(E_F): 8.861 states/eV/cell
- Space group: Pmmn

=====

Record 3
The following is a GGA-PBE calculation of an optimized crystal structure of BeCdPt2, from Alexandria.

Lattice parameters (Å, degrees): 2.896 4.926 5.463 52.13 90.00 90.00
Atoms (fractional coordinates):
1 Be 0.500 0.500 0.500
2 Pt 0.000 0.000 0.000
3 Pt 0.500 0.500 0.000
4 Cd 0.000 0.000 0.500

Properties
- Density: 13808 kg/m3
- ΔH_f (0 K): -0.0974 eV/atom
- Crystal system: monoclinic
- N(E_F): 2.297 states/eV/cell
- Space group: P2/m

=====

Record 4
The following is a GGA-PBE calculation of an optimized crystal structure of CePr7Al4, from Alexandria.

Lattice parameters (Å, degrees): 5.658 9.429 7.685 77.33 68.40 72.54
Last column: magnetic moment on the atom in μB.
Atoms (fractional coordinates):
1 Ce 0.000 0.000 0.000  0.84
2 Pr 0.795 0.882 0.528  -0.01
3 Pr 0.205 0.118 0.472  -0.01
4 Pr 0.066 0.610 0.258  0.00
5 Pr 0.934 0.390 0.742  0.00
6 Pr 0.292 0.651 0.765  0.01
7 Pr 0.500 0.000 0.000  0.17
8 Pr 0.708 0.349 0.235  0.01
9 Al 0.551 0.243 0.655  0.00
10 Al 0.449 0.757 0.345  0.00
11 Al 0.673 0.668 0.985  0.00
12 Al 0.327 0.332 0.015  0.00

Properties
- Density: 5680 kg/m3
- ΔH_f (0 K): -0.0576 eV/atom
- Crystal system: monoclinic
- N(E_F): 14.929 states/eV/cell
- Space group: C2/m

=====

Record 5
The following is a GGA-PBE calculation of an optimized crystal structure of LaIn2Re, from Alexandria.

Lattice parameters (Å, degrees): 10.256 10.256 10.256 18.84 18.84 18.84
Atoms (fractional coordinates):
1 In 0.011 0.011 0.011
2 In 0.256 0.256 0.256
3 La 0.485 0.485 0.485
4 Re 0.747 0.747 0.747

Properties
- Density: 9370 kg/m3
- ΔH_f (0 K): 0.4440 eV/atom
- Crystal system: trigonal
- N(E_F): 1.769 states/eV/cell
- Space group: R3m

=====

Record 6
The following is a GGA-PBE calculation of an optimized crystal structure of Ce3Ga4Pt7, from Alexandria.

Lattice parameters (Å, degrees): 4.244 8.491 8.353 67.20 75.28 75.53
Last column: magnetic moment on the atom in μB.
Atoms (fractional coordinates):
1 Ce 0.328 0.181 0.164  0.19
2 Ce 0.672 0.819 0.836  0.19
3 Ce 0.000 0.500 0.500  0.66
4 Ga 0.680 0.463 0.176  0.00
5 Ga 0.320 0.537 0.824  0.00
6 Ga 0.874 0.897 0.355  0.01
7 Ga 0.126 0.103 0.645  0.01
8 Pt 0.303 0.824 0.570  0.00
9 Pt 0.510 0.220 0.760  -0.01
10 Pt 0.873 0.359 0.895  -0.01
11 Pt 0.697 0.176 0.430  0.00
12 Pt 0.127 0.641 0.105  -0.01
13 Pt 0.000 0.000 0.000  -0.01
14 Pt 0.490 0.780 0.240  -0.01

Properties
- Density: 12963 kg/m3
- ΔH_f (0 K): -0.9647 eV/atom
- Crystal system: monoclinic
- N(E_F): 14.863 states/eV/cell
- Space group: C2/m

=====

Record 7
The following is a GGA-PBE calculation of an optimized crystal structure of Na4Hg5Pb2, from Alexandria.

Lattice parameters (Å, degrees): 3.448 8.483 10.778 108.97 90.00 90.00
Atoms (fractional coordinates):
1 Na 0.500 0.243 0.723
2 Na 0.500 0.744 0.857
3 Na 0.500 0.757 0.277
4 Na 0.500 0.256 0.143
5 Hg 0.000 0.501 0.361
6 Hg 0.000 0.920 0.109
7 Hg 0.000 0.500 0.000
8 Hg 0.000 0.080 0.891
9 Hg 0.000 0.499 0.639
10 Pb 0.000 0.863 0.588
11 Pb 0.000 0.137 0.412

Properties
- Density: 8406 kg/m3
- ΔH_f (0 K): -0.1851 eV/atom
- Crystal system: monoclinic
- N(E_F): 3.583 states/eV/cell
- Space group: P2/m

=====

Record 8
The following is a GGA-PBE calculation of an optimized crystal structure of Tb7HoZn4, from Alexandria.

Lattice parameters (Å, degrees): 5.531 8.803 7.517 72.95 68.41 71.69
Last column: magnetic moment on the atom in μB.
Atoms (fractional coordinates):
1 Tb 0.791 0.880 0.537  0.01
2 Tb 0.209 0.120 0.463  0.01
3 Tb 0.070 0.597 0.263  0.00
4 Tb 0.930 0.403 0.737  0.00
5 Tb 0.277 0.672 0.773  0.00
6 Tb 0.500 0.000 0.000  0.09
7 Tb 0.723 0.328 0.227  0.00
8 Ho 0.000 0.000 0.000  0.11
9 Zn 0.543 0.264 0.650  0.00
10 Zn 0.457 0.736 0.350  0.00
11 Zn 0.678 0.662 0.982  0.00
12 Zn 0.322 0.338 0.018  0.00

Properties
- Density: 8074 kg/m3
- ΔH_f (0 K): -0.0016 eV/atom
- Crystal system: monoclinic
- N(E_F): 13.436 states/eV/cell
- Space group: C2/m

=====

Record 9
The following is a GGA-PBE calculation of an optimized crystal structure of ReSi3C, from Alexandria.

Lattice parameters (Å, degrees): 3.940 3.940 3.940 90.00 90.00 90.00
Atoms (fractional coordinates):
1 Re 0.500 0.500 0.500
2 Si 0.000 0.500 0.000
3 Si 0.000 0.000 0.500
4 Si 0.500 0.000 0.000
5 C 0.000 0.000 0.000

Properties
- Density: 7667 kg/m3
- Crystal system: cubic
- N(E_F): 3.569 states/eV/cell
- Raw formation energy: 0.920 eV per atom
- Space group: Pm-3m

=====

Record 10
The following is a GGA-PBE calculation of an optimized crystal structure of La2AlCl, from Alexandria.

Lattice parameters (Å, degrees): 6.248 6.248 5.133 90.00 90.00 34.07
Atoms (fractional coordinates):
1 Cl 0.252 0.252 0.125
2 Al 0.491 0.491 0.625
3 La 0.006 0.006 0.125
4 La 0.750 0.750 0.625

Properties
- Density: 5034 kg/m3
- Crystal system: orthorhombic
- N(E_F): 2.843 states/eV/cell
- Raw formation energy: -0.835 eV per atom
- Space group: Amm2

=====

Record 11
The following is a GGA-PBE calculation of an optimized crystal structure of Li2Ni2Sn3, from Alexandria.

Lattice parameters (Å, degrees): 4.161 5.535 7.126 114.64 90.00 112.08
Atoms (fractional coordinates):
1 Li 0.840 0.680 0.184
2 Li 0.160 0.320 0.816
3 Ni 0.886 0.772 0.791
4 Ni 0.114 0.228 0.209
5 Sn 0.500 0.000 0.000
6 Sn 0.633 0.265 0.471
7 Sn 0.367 0.735 0.529

Properties
- Density: 5958 kg/m3
- ΔH_f (0 K): -0.2140 eV/atom
- Crystal system: monoclinic
- N(E_F): 2.617 states/eV/cell
- Space group: C2/m

=====

Record 12
The following is a GGA-PBE calculation of an optimized crystal structure of Rb3Pt2O4, from Alexandria.

Lattice parameters (Å, degrees): 4.833 7.910 7.910 61.16 72.21 72.21
Last column: magnetic moment on the atom in μB.
Atoms (fractional coordinates):
1 Rb 0.300 0.200 0.200  0.00
2 Rb 0.500 0.500 0.500  0.00
3 Rb 0.700 0.800 0.800  0.00
4 Pt 0.000 0.788 0.212  0.67
5 Pt 0.000 0.212 0.788  0.67
6 O 0.857 0.925 0.362  0.33
7 O 0.143 0.638 0.075  0.33
8 O 0.143 0.075 0.638  0.33
9 O 0.857 0.362 0.925  0.33

Properties
- Density: 4765 kg/m3
- Crystal system: orthorhombic
- N(E_F): 11.603 states/eV/cell
- Raw formation energy: -0.821 eV per atom
- Space group: Immm

=====

Record 13
The following is a GGA-PBE calculation of an optimized crystal structure of CsGaGe, from Alexandria.

Lattice parameters (Å, degrees): 11.482 4.311 9.343 90.00 90.00 90.00
Atoms (fractional coordinates):
1 Cs 0.808 0.250 0.560
2 Cs 0.692 0.750 0.060
3 Cs 0.192 0.750 0.440
4 Cs 0.308 0.250 0.940
5 Ge 0.487 0.250 0.290
6 Ge 0.013 0.750 0.790
7 Ge 0.513 0.750 0.710
8 Ge 0.987 0.250 0.210
9 Ga 0.963 0.250 0.926
10 Ga 0.537 0.750 0.426
11 Ga 0.037 0.750 0.074
12 Ga 0.463 0.250 0.574

Properties
- Density: 3953 kg/m3
- ΔH_f (0 K): -0.0623 eV/atom
- Crystal system: orthorhombic
- N(E_F): 0.000 states/eV/cell
- Space group: Pnma

=====

Record 14
The following is a GGA-PBE calculation of an optimized crystal structure of ReTeRu2, from Alexandria.

Lattice parameters (Å, degrees): 4.886 4.886 4.703 84.38 84.38 35.31
Atoms (fractional coordinates):
1 Re 0.731 0.731 0.794
2 Ru 0.999 0.999 0.982
3 Ru 0.265 0.265 0.246
4 Te 0.505 0.505 0.477

Properties
- Density: 13272 kg/m3
- Crystal system: monoclinic
- N(E_F): 2.658 states/eV/cell
- Raw formation energy: 0.420 eV per atom
- Space group: Cm

=====

Record 15
The following is a GGA-PBE calculation of an optimized crystal structure of ZnW3, from Alexandria.

Lattice parameters (Å, degrees): 2.704 4.488 5.290 90.00 79.61 90.00
Atoms (fractional coordinates):
1 W 0.996 0.000 0.002
2 W 0.504 0.000 0.498
3 W 0.250 0.500 0.250
4 Zn 0.750 0.500 0.750

Properties
- Density: 16223 kg/m3
- ΔH_f (0 K): 0.2208 eV/atom
- Crystal system: monoclinic
- N(E_F): 1.606 states/eV/cell
- Space group: P2/m

=====

Record 16
The following is a GGA-PBE calculation of an optimized crystal structure of YBeTl, from Alexandria.

Lattice parameters (Å, degrees): 11.322 3.823 3.823 120.07 80.36 99.64
Atoms (fractional coordinates):
1 Y 0.687 0.003 0.763
2 Y 0.350 0.892 0.875
3 Be 0.518 0.281 0.486
4 Be 0.519 0.615 0.152
5 Tl 0.913 0.745 0.021
6 Tl 0.125 0.150 0.617

Properties
- Density: 7146 kg/m3
- ΔH_f (0 K): -0.0854 eV/atom
- Crystal system: monoclinic
- N(E_F): 6.806 states/eV/cell
- Space group: C2/m

=====

Record 17
The following is a GGA-PBE calculation of an optimized crystal structure of Cd3Hg2, from Alexandria.

Lattice parameters (Å, degrees): 3.473 3.473 11.690 98.54 98.54 60.00
Atoms (fractional coordinates):
1 Cd 0.000 0.000 0.000
2 Cd 0.200 0.200 0.600
3 Cd 0.800 0.800 0.400
4 Hg 0.400 0.400 0.200
5 Hg 0.600 0.600 0.800

Properties
- Density: 10190 kg/m3
- ΔH_f (0 K): 0.0214 eV/atom
- Crystal system: trigonal
- N(E_F): 2.102 states/eV/cell
- Space group: R-3m

=====

Record 18
The following is a GGA-PBE calculation of an optimized crystal structure of In2Ga2Se, from Alexandria.

Lattice parameters (Å, degrees): 8.028 8.028 3.767 90.00 90.00 90.00
Atoms (fractional coordinates):
1 Ga 0.119 0.619 0.500
2 Ga 0.619 0.881 0.500
3 Ga 0.881 0.381 0.500
4 Ga 0.381 0.119 0.500
5 Se 0.000 0.000 0.000
6 Se 0.500 0.500 0.000
7 In 0.317 0.817 0.000
8 In 0.817 0.683 0.000
9 In 0.683 0.183 0.000
10 In 0.183 0.317 0.000

Properties
- Density: 6129 kg/m3
- Crystal system: tetragonal
- N(E_F): 4.223 states/eV/cell
- Raw formation energy: 0.019 eV per atom
- Space group: P4/mbm

=====

Record 19
The following is a GGA-PBE calculation of an optimized crystal structure of AcSmPuTh, from Alexandria.

Lattice parameters (Å, degrees): 5.793 5.793 5.793 60.00 60.00 60.00
Last column: magnetic moment on the atom in μB.
Atoms (fractional coordinates):
1 Ac 0.250 0.250 0.250  0.16
2 Sm 0.000 0.000 0.000  0.30
3 Th 0.500 0.500 0.500  0.52
4 Pu 0.750 0.750 0.750  5.73

Properties
- Density: 10308 kg/m3
- ΔH_f (0 K): 0.3232 eV/atom
- Crystal system: cubic
- N(E_F): 15.374 states/eV/cell
- Space group: F-43m

=====

Record 20
The following is a GGA-PBE calculation of an optimized crystal structure of BaSr4Pd, from Alexandria.

Lattice parameters (Å, degrees): 7.205 8.409 10.797 112.92 105.85 90.00
Atoms (fractional coordinates):
1 Ba 0.817 0.802 0.605
2 Ba 0.183 0.198 0.395
3 Sr 0.209 0.677 0.354
4 Sr 0.387 0.148 0.787
5 Sr 0.000 0.254 0.000
6 Sr 0.613 0.360 0.213
7 Sr 0.791 0.323 0.646
8 Sr 0.613 0.852 0.213
9 Sr 0.000 0.746 0.000
10 Sr 0.387 0.640 0.787
11 Pd 0.327 0.521 0.042
12 Pd 0.673 0.479 0.958

Properties
- Density: 3429 kg/m3
- ΔH_f (0 K): -0.2115 eV/atom
- Crystal system: monoclinic
- N(E_F): 10.074 states/eV/cell
- Space group: C2/m

=====

Record 21
The following is a GGA-PBE calculation of an optimized crystal structure of Hg2PtAu, from Alexandria.

Lattice parameters (Å, degrees): 5.274 5.274 5.274 135.03 131.51 68.27
Atoms (fractional coordinates):
1 Au 0.250 0.750 0.500
2 Hg 0.997 0.997 0.000
3 Hg 0.503 0.503 0.000
4 Pt 0.750 0.250 0.500

Properties
- Density: 17264 kg/m3
- ΔH_f (0 K): 0.1072 eV/atom
- Crystal system: orthorhombic
- N(E_F): 1.246 states/eV/cell
- Space group: Immm

=====

Record 22
The following is a GGA-PBE calculation of an optimized crystal structure of SmEuLu2, from Alexandria.

Lattice parameters (Å, degrees): 4.983 5.091 5.091 90.00 90.00 90.00
Last column: magnetic moment on the atom in μB.
Atoms (fractional coordinates):
1 Eu 0.500 0.500 0.500  6.82
2 Lu 0.000 0.000 0.500  0.02
3 Lu 0.000 0.500 0.000  0.02
4 Sm 0.500 0.000 0.000  -0.01

Properties
- Density: 8384 kg/m3
- ΔH_f (0 K): 0.1034 eV/atom
- Crystal system: tetragonal
- N(E_F): 6.101 states/eV/cell
- Space group: P4/mmm

=====

Record 23
The following is a GGA-PBE calculation of an optimized crystal structure of Er6Sn2Pd, from Alexandria.

Lattice parameters (Å, degrees): 3.900 8.477 8.476 120.01 90.00 90.00
Last column: magnetic moment on the atom in μB.
Atoms (fractional coordinates):
1 Er 0.500 0.601 0.000  0.25
2 Er 0.500 0.399 0.399  0.25
3 Er 0.500 0.000 0.601  0.25
4 Er 0.000 0.248 0.000  0.23
5 Er 0.000 0.752 0.752  0.23
6 Er 0.000 0.000 0.248  0.23
7 Sn 0.000 0.333 0.667  -0.01
8 Sn 0.000 0.667 0.333  -0.01
9 Pd 0.500 0.000 0.000  0.03

Properties
- Density: 9220 kg/m3
- ΔH_f (0 K): -0.5760 eV/atom
- Crystal system: hexagonal
- N(E_F): 10.274 states/eV/cell
- Space group: P-62m

=====

Record 24
The following is a GGA-PBE calculation of an optimized crystal structure of CdSi2Ni, from Alexandria.

Lattice parameters (Å, degrees): 4.216 4.216 8.387 75.44 75.44 90.00
Atoms (fractional coordinates):
1 Ni 0.500 0.500 0.000
2 Ni 0.250 0.750 0.500
3 Si 0.527 0.125 0.250
4 Si 0.223 0.625 0.250
5 Si 0.375 0.473 0.750
6 Si 0.875 0.777 0.750
7 Cd 0.000 0.000 0.000
8 Cd 0.750 0.250 0.500

Properties
- Density: 5416 kg/m3
- Crystal system: tetragonal
- N(E_F): 5.168 states/eV/cell
- Raw formation energy: 0.153 eV per atom
- Space group: I-42d

=====

Record 25
The following is a GGA-PBE calculation of an optimized crystal structure of NaYBiP2, from Alexandria.

Lattice parameters (Å, degrees): 4.920 5.216 4.920 90.00 90.00 90.00
Atoms (fractional coordinates):
1 Y 0.500 0.500 0.500
2 P 0.000 0.000 0.500
3 P 0.500 0.000 0.000
4 Bi 0.000 0.500 0.000
5 Na 0.000 0.000 0.000

Properties
- Density: 5036 kg/m3
- ΔH_f (0 K): 0.5072 eV/atom
- Crystal system: tetragonal
- N(E_F): 3.059 states/eV/cell
- Space group: P4/mmm